Co2P2O7 | OQMD via LeMat-Bulk | PBE with a Hubbard U | optimized geometry; energy above the lowest structure with this stoichiometry = 0.037 eV/atom; calculated density = 4158 kg/m3
1.0
5.3031 0.0000 0.0046
0.0000 9.8983 0.0000
-0.5742 0.0000 4.4395
P O Co
4 14 4
direct
0.1545 0.3876 0.8545 P
0.6545 0.1124 0.8545 P
0.3455 0.8876 0.1455 P
0.8455 0.6124 0.1455 P
0.9637 0.3186 0.6183 O
0.1349 0.9587 0.2914 O
0.3651 0.4587 0.7086 O
0.0000 0.5000 0.0000 O
0.5363 0.8186 0.3817 O
0.0363 0.6814 0.3817 O
0.8651 0.0413 0.7086 O
0.2395 0.7953 0.8864 O
0.4637 0.1814 0.6183 O
0.6349 0.5413 0.2914 O
0.2605 0.2953 0.1136 O
0.5000 0.0000 0.0000 O
0.7605 0.2047 0.1136 O
0.7395 0.7047 0.8864 O
0.4122 0.6555 0.6068 Co
0.9122 0.8445 0.6068 Co
0.0878 0.1555 0.3932 Co
0.5878 0.3445 0.3932 Co